(one)
VASP calculation (PBEsol) on crystalline Mg2Zn3Cu at its relaxed geometry.

As for the crystal system: hexagonal.

Cell: 5.043 5.043 8.305 Å, 90.00 90.00 120.00°
Sites, in units of the cell vectors:
1 Mg 0.333 0.667 0.059
2 Mg 0.333 0.667 0.441
3 Mg 0.667 0.333 0.559
4 Mg 0.667 0.333 0.941
5 Zn 0.167 0.335 0.750
6 Zn 0.167 0.833 0.750
7 Zn 0.335 0.167 0.250
8 Zn 0.665 0.833 0.750
9 Zn 0.833 0.167 0.250
10 Zn 0.833 0.665 0.250
11 Cu 0.000 0.000 0.000
12 Cu 0.000 0.000 0.500


(two)
VASP calculation (PBEsol) on crystalline Mg2Zn3Cu at its relaxed geometry.

As for the crystal system: trigonal.

Cell: 5.049 5.049 5.049 Å, 60.04 60.04 60.04°
Sites, in units of the cell vectors:
1 Mg 0.127 0.127 0.127
2 Mg 0.873 0.873 0.873
3 Zn 0.000 0.500 0.500
4 Zn 0.500 0.000 0.500
5 Zn 0.500 0.500 0.000
6 Cu 0.500 0.500 0.500


The most stable of them is (two).


(one)
VASP calculation (PBEsol) on crystalline MgZn2Cu4 at its relaxed geometry.

As for the crystal system: trigonal.

Cell: 6.477 6.477 6.477 Å, 37.37 37.37 37.37°
Sites, in units of the cell vectors:
1 Mg 0.000 0.000 0.000
2 Zn 0.274 0.274 0.274
3 Zn 0.726 0.726 0.726
4 Cu 0.142 0.142 0.142
5 Cu 0.429 0.429 0.429
6 Cu 0.571 0.571 0.571
7 Cu 0.858 0.858 0.858


(two)
VASP calculation (PBEsol) on crystalline MgZn2Cu4 at its relaxed geometry.

As for the crystal system: tetragonal.

Cell: 5.009 5.009 5.009 Å, 103.35 103.35 122.56°
Sites, in units of the cell vectors:
1 Mg 0.000 0.000 0.000
2 Zn 0.250 0.750 0.500
3 Zn 0.750 0.250 0.500
4 Cu 0.305 0.305 0.609
5 Cu 0.305 0.695 0.000
6 Cu 0.695 0.305 0.000
7 Cu 0.695 0.695 0.391


(three)
VASP calculation (PBEsol) on crystalline MgZn2Cu4 at its relaxed geometry.

As for the crystal system: tetragonal.

Cell: 6.350 6.350 6.350 Å, 111.95 111.95 104.61°
Sites, in units of the cell vectors:
1 Mg 0.250 0.250 0.000
2 Mg 0.750 0.750 0.000
3 Zn 0.152 0.652 0.804
4 Zn 0.348 0.152 0.500
5 Zn 0.652 0.848 0.500
6 Zn 0.848 0.348 0.196
7 Cu 0.021 0.814 0.500
8 Cu 0.186 0.686 0.207
9 Cu 0.314 0.521 0.500
10 Cu 0.479 0.979 0.793
11 Cu 0.521 0.021 0.207
12 Cu 0.686 0.479 0.500
13 Cu 0.814 0.314 0.793
14 Cu 0.979 0.186 0.500


The most stable of them is (two).